{
  "formula": "Si3Rh2",
  "functional": "GGA-PBE",
  "state": "optimized geometry",
  "raw_formation_energy_ev_per_atom": -0.43,
  "mass_density_g_cm3": 6.951,
  "space_group": "No. 166",
  "lattice_angstrom": [[1.474, 0.851, 9.206], [-1.474, 0.851, 9.206], [0.000, -1.702, 9.206]],
  "species": ["Si", "Si", "Si", "Rh", "Rh"],
  "fractional_positions": [[0.000, 0.000, 0.000], [0.200, 0.200, 0.200], [0.800, 0.800, 0.800], [0.401, 0.401, 0.401], [0.599, 0.599, 0.599]]
}

{
  "formula": "Pm3Y4Th",
  "functional": "GGA-PBE",
  "state": "optimized geometry",
  "mass_density_g_cm3": 6.330,
  "space_group": "No. 12",
  "delta_e_f_ev_per_atom": 0.159,
  "lattice_angstrom": [[11.788, -1.736, 0.000], [11.788, 1.736, 0.000], [-1.976, 0.000, 6.556]],
  "species": ["Pm", "Pm", "Pm", "Y", "Y", "Y", "Y", "Th"],
  "fractional_positions": [[0.000, 0.000, 0.000], [0.123, 0.123, 0.863], [0.877, 0.877, 0.137], [0.124, 0.124, 0.387], [0.258, 0.258, 0.259], [0.742, 0.742, 0.741], [0.876, 0.876, 0.613], [0.500, 0.500, 0.500]]
}

{
  "formula": "ZrCd2Si",
  "functional": "GGA-PBE",
  "state": "optimized geometry",
  "raw_formation_energy_ev_per_atom": -0.18,
  "mass_density_g_cm3": 7.081,
  "space_group": "No. 71",
  "lattice_angstrom": [[-1.838, 2.089, 5.254], [1.838, -2.089, 5.254], [1.838, 2.089, -5.254]],
  "species": ["Zr", "Cd", "Cd", "Si"],
  "fractional_positions": [[0.000, 0.000, 0.000], [0.269, 0.769, 0.500], [0.731, 0.231, 0.500], [0.500, 0.500, 0.000]]
}

{
  "formula": "Re5Si",
  "functional": "GGA-PBE",
  "state": "optimized geometry",
  "raw_formation_energy_ev_per_atom": 0.73,
  "mass_density_g_cm3": 15.727,
  "space_group": "No. 191",
  "relative_energy_ev_per_atom": 0.746,
  "lattice_angstrom": [[4.972, 0.000, 0.000], [-2.486, 4.306, 0.000], [0.000, 0.000, 4.730]],
  "species": ["Re", "Re", "Re", "Re", "Re", "Si"],
  "fractional_positions": [[0.000, 0.500, 0.000], [0.333, 0.667, 0.500], [0.500, 0.000, 0.000], [0.500, 0.500, 0.000], [0.667, 0.333, 0.500], [0.000, 0.000, 0.500]]
}

{
  "formula": "Pm2AsIr",
  "functional": "GGA-PBE",
  "state": "optimized geometry",
  "mass_density_g_cm3": 9.907,
  "space_group": "No. 225",
  "relative_energy_ev_per_atom": 0.130,
  "delta_e_f_ev_per_atom": -0.759,
  "lattice_angstrom": [[0.000, 3.601, 3.601], [3.601, 0.000, 3.601], [3.601, 3.601, 0.000]],
  "species": ["Pm", "Pm", "As", "Ir"],
  "fractional_positions": [[0.250, 0.250, 0.250], [0.750, 0.750, 0.750], [0.000, 0.000, 0.000], [0.500, 0.500, 0.500]]
}

{
  "formula": "Ba2PmTl3",
  "functional": "GGA-PBE",
  "state": "optimized geometry",
  "mass_density_g_cm3": 7.993,
  "space_group": "No. 123",
  "delta_e_f_ev_per_atom": -0.381,
  "lattice_angstrom": [[4.072, 0.000, 0.000], [0.000, 4.072, 0.000], [0.000, 0.000, 12.938]],
  "species": ["Ba", "Ba", "Pm", "Tl", "Tl", "Tl"],
  "fractional_positions": [[0.000, 0.000, 0.180], [0.000, 0.000, 0.820], [0.000, 0.000, 0.500], [0.500, 0.500, 0.000], [0.500, 0.500, 0.364], [0.500, 0.500, 0.636]]
}

{
  "formula": "Er2Mg3Cu4",
  "functional": "GGA-PBE",
  "state": "optimized geometry",
  "mass_density_g_cm3": 6.443,
  "space_group": "No. 64",
  "delta_e_f_ev_per_atom": -0.129,
  "lattice_angstrom": [[2.879, -8.422, 0.000], [2.879, 8.422, 0.000], [0.000, 0.000, 7.032]],
  "species": ["Er", "Er", "Er", "Er", "Mg", "Mg", "Mg", "Mg", "Mg", "Mg", "Cu", "Cu", "Cu", "Cu", "Cu", "Cu", "Cu", "Cu"],
  "fractional_positions": [[0.098, 0.902, 0.904], [0.402, 0.598, 0.404], [0.598, 0.402, 0.596], [0.902, 0.098, 0.096], [0.000, 0.000, 0.500], [0.012, 0.488, 0.750], [0.488, 0.012, 0.250], [0.500, 0.500, 0.000], [0.512, 0.988, 0.750], [0.988, 0.512, 0.250], [0.156, 0.844, 0.514], [0.174, 0.326, 0.750], [0.326, 0.174, 0.250], [0.344, 0.656, 0.014], [0.656, 0.344, 0.986], [0.674, 0.826, 0.750], [0.826, 0.674, 0.250], [0.844, 0.156, 0.486]]
}

{
  "formula": "BaTe2Au",
  "functional": "GGA-PBE",
  "state": "optimized geometry",
  "raw_formation_energy_ev_per_atom": -0.81,
  "mass_density_g_cm3": 6.737,
  "space_group": "No. 10",
  "relative_energy_ev_per_atom": 0.038,
  "lattice_angstrom": [[4.761, 0.000, 0.000], [0.000, 4.307, 0.000], [-0.054, 0.000, 7.087]],
  "species": ["Ba", "Te", "Te", "Au"],
  "fractional_positions": [[0.000, 0.000, 0.000], [0.499, 0.500, 0.758], [0.501, 0.500, 0.242], [0.500, 0.000, 0.500]]
}

Number 1: M_tot 0.00 Bohr magnetons per cell, total DFT energy (no corrections) -6.625 eV/atom, DOS at the Fermi energy 3.05 states/eV per cell. Number 2: M_tot 0.00 Bohr magnetons per cell, total DFT energy (no corrections) -5.782 eV/atom, DOS at the Fermi energy 13.61 states/eV per cell. Number 3: M_tot 0.00 Bohr magnetons per cell, total DFT energy (no corrections) -4.129 eV/atom, DOS at the Fermi energy 1.75 states/eV per cell. Number 4: M_tot 0.00 Bohr magnetons per cell, total DFT energy (no corrections) -10.548 eV/atom, DOS at the Fermi energy 3.37 states/eV per cell. Number 5: M_tot 0.00 Bohr magnetons per cell, total DFT energy (no corrections) -6.512 eV/atom, DOS at the Fermi energy 1.33 states/eV per cell. Number 6: M_tot 0.00 Bohr magnetons per cell, total DFT energy (no corrections) -2.997 eV/atom, DOS at the Fermi energy 5.86 states/eV per cell. Number 7: M_tot 0.00 Bohr magnetons per cell, total DFT energy (no corrections) -3.495 eV/atom, DOS at the Fermi energy 10.20 states/eV per cell. Number 8: M_tot 0.00 Bohr magnetons per cell, total DFT energy (no corrections) -3.682 eV/atom, DOS at the Fermi energy 1.35 states/eV per cell.